Density functional theory data (SCAN) for Sc2ZnFePb at its PBEsol-relaxed geometry.

Output
Its crystal system is tetragonal. As for the energy of formation: 0.01 eV per atom.

a b c (Å): 4.6623 4.6623 4.6451
angles (deg): 90.00 90.00 90.00
Last column: nearest neighbours and their distance in Å.
Atoms (fractional coordinates):
1 Sc 0.0000 0.5000 0.0000  2 Fe 2.33
2 Sc 0.5000 0.0000 0.0000  2 Fe 2.33
3 Zn 0.0000 0.0000 0.5000  2 Fe 2.32
4 Fe 0.0000 0.0000 0.0000  2 Zn 2.32, 4 Sc 2.33
5 Pb 0.5000 0.5000 0.5000  8 Sc 3.29, 4 Zn 3.30